[1]
Here is a PBEsol-optimized structure of AlRe2OsCl from Alexandria. Energies are from SCAN.

abc: 4.3020 4.3020 4.3114
angles: 90.00 90.00 90.00
Closest atoms and distances in Å follow each position.
Element x y z (fractional)
Os 0.0000 0.0000 0.5000  2 Cl 2.16
Re 0.5000 0.0000 0.0000  2 Cl 2.15
Al 0.5000 0.5000 0.5000  4 Os 3.04, 8 Re 3.05
Re 0.0000 0.5000 0.0000  2 Cl 2.15
Cl 0.0000 0.0000 0.0000  4 Re 2.15, 2 Os 2.16

## Properties
Density (g/cm3): 13.009
Crystal system: tetragonal
ΔE_f (raw) (eV per formula unit): 9.023

[2]
Here is a PBEsol-optimized structure of BeIr3Os from Alexandria. Energies are from SCAN.

abc: 4.0540 4.0540 4.0540
angles: 90.00 90.00 90.00
Closest atoms and distances in Å follow each position.
Element x y z (fractional)
Ir 0.0000 0.5000 0.0000  2 Be 2.03
Ir 0.0000 0.0000 0.5000  2 Be 2.03
Ir 0.5000 0.0000 0.0000  2 Be 2.03
Os 0.5000 0.5000 0.5000  12 Ir 2.87
Be 0.0000 0.0000 0.0000  6 Ir 2.03

## Properties
Density (g/cm3): 19.337
ΔE_f (meV/atom): 668
Crystal system: cubic

[3]
Here is a PBEsol-optimized structure of Sr2TcAs from Alexandria. Energies are from SCAN.

abc: 3.7730 5.1478 6.1863
angles: 114.59 107.75 90.00
Closest atoms and distances in Å follow each position.
Element x y z (fractional)
Sr 0.0360 0.0360 0.0719  4 As 3.32-3.63, 4 Sr 3.35-3.67, 4 Tc 3.38
As 0.7942 0.2942 0.5884  2 Tc 2.38
Sr 0.2388 0.7388 0.4775  4 As 3.24, 2 Tc 3.28, 2 Sr 3.35
Tc 0.4311 0.4311 0.8621  2 As 2.38

## Properties
Density (g/cm3): 5.617
ΔE_f (meV/atom): -96
Crystal system: orthorhombic

[4]
Here is a PBEsol-optimized structure of YMgCl2 from Alexandria. Energies are from SCAN.

abc: 3.8453 3.8453 6.5071
angles: 107.19 107.19 90.00
Closest atoms and distances in Å follow each position.
Element x y z (fractional)
Mg 0.5000 0.5000 0.0000  4 Cl 2.72
Y 0.2500 0.7500 0.5000  4 Cl 2.72
Cl 0.0000 0.0000 0.0000  4 Mg 2.72
Cl 0.7500 0.2500 0.5000  4 Y 2.72

## Properties
Density (g/cm3): 3.498
Crystal system: tetragonal
ΔE_f (raw) (eV per formula unit): -4.155